Below is a geometry-optimized ZnCuAu2 structure, with properties calculated at the PBE-GGA level.

Lattice parameters (Å, degrees): 2.902 2.902 26.290 90.00 90.00 120.00
Fractional positions:
Zn  0.000  0.000  0.000
Zn  0.333  0.667  0.667
Zn  0.667  0.333  0.333
Cu  0.000  0.000  0.833
Cu  0.333  0.667  0.500
Cu  0.667  0.333  0.166
Au  0.000  0.000  0.418
Au  0.000  0.000  0.582
Au  0.333  0.667  0.085
Au  0.333  0.667  0.249
Au  0.667  0.333  0.751
Au  0.667  0.333  0.915

calculated density = 13.59 Mg/m³
energy relative to the elements = -0.04 eV per atom
density of states at the Fermi level = 5.5 states/eV/cell
calculated volume = 191.7 Å³ per cell
space group = R3m (160)